# 1
SrHgSbPd3: relaxed, GGA-PBE.

The structure in POSCAR format:
```
SrHgSbPd3
1.0
-2.070 1.118 -5.404
-0.713 -5.734 -0.913
-7.823 3.368 3.694
Hg Pd Sb Sr
2 6 2 2
Direct
0.750 0.613 0.226 Hg
0.250 0.387 0.774 Hg
0.000 0.739 0.000 Pd
0.250 0.235 0.469 Pd
0.500 0.261 0.000 Pd
0.000 0.261 0.000 Pd
0.750 0.765 0.531 Pd
0.500 0.739 0.000 Pd
0.250 0.088 0.176 Sb
0.750 0.912 0.824 Sb
0.750 0.294 0.589 Sr
0.250 0.706 0.411 Sr
```

Results
Size of the total moment in Bohr magnetons per cell: 0.0
Uncorrected formation energy in meV/atom: -399
DFT total energy in eV/atom: -4.013



# 2
NaP2Br8: relaxed, GGA-PBE.

The structure in POSCAR format:
```
NaP2Br8
1.0
-1.102 -6.903 1.153
-0.583 -1.390 -7.860
7.844 -1.507 -0.508
Br P Na
8 2 1
Direct
0.739 0.198 0.198 Br
0.261 0.802 0.802 Br
0.824 0.576 0.576 Br
0.279 0.995 0.309 Br
0.721 0.005 0.691 Br
0.721 0.691 0.005 Br
0.279 0.309 0.995 Br
0.176 0.424 0.424 Br
0.613 0.744 0.744 P
0.387 0.256 0.256 P
0.000 0.000 0.000 Na
```

Results
Size of the total moment in Bohr magnetons per cell: 0.5
Uncorrected formation energy in meV/atom: -424
DFT total energy in eV/atom: -2.744



# 3
Ca4MgZnIn2: relaxed, GGA-PBE.

The structure in POSCAR format:
```
Ca4MgZnIn2
1.0
5.420 0.000 0.000
2.710 4.694 0.000
2.710 1.565 8.818
In Ca Mg Zn
2 4 1 1
Direct
0.255 0.255 0.236 In
0.745 0.745 0.764 In
0.380 0.380 0.861 Ca
0.129 0.129 0.613 Ca
0.871 0.871 0.387 Ca
0.620 0.620 0.139 Ca
0.000 0.000 0.000 Mg
0.500 0.500 0.500 Zn
```

Results
Size of the total moment in Bohr magnetons per cell: 0.0
Calculated formation energy in meV per atom: -346
DFT total energy in eV/atom: -2.390



# 4
Pm4TmTh3S8: relaxed, GGA-PBE.

The structure in POSCAR format:
```
Pm4TmTh3S8
1.0
-5.181 -4.662 3.945
6.032 -4.861 2.178
0.398 7.828 1.644
Pm Th S Tm
4 3 8 1
Direct
0.000 0.000 0.500 Pm
0.500 0.000 0.000 Pm
0.500 0.000 0.500 Pm
0.000 0.000 0.000 Pm
0.500 0.500 0.000 Th
0.000 0.500 0.500 Th
0.500 0.500 0.500 Th
0.756 0.255 0.998 S
0.756 0.255 0.512 S
0.242 0.255 0.998 S
0.758 0.745 0.002 S
0.751 0.754 0.502 S
0.244 0.745 0.488 S
0.249 0.246 0.498 S
0.244 0.745 0.002 S
0.000 0.500 0.000 Tm
```

Results
Size of the total moment in Bohr magnetons per cell: 0.0
Uncorrected formation energy in meV/atom: -1938
DFT total energy in eV/atom: -6.860



# 5
Co2TePt: relaxed, GGA-PBE.

The structure in POSCAR format:
```
Co2TePt
1.0
-0.673 -0.051 -3.230
0.911 -3.168 -0.139
-5.290 -1.571 1.127
Pt Co Te
1 2 1
Direct
0.000 0.000 0.467 Pt
0.500 0.500 0.231 Co
0.000 0.000 0.021 Co
0.500 0.500 0.780 Te
```

Results
Size of the total moment in Bohr magnetons per cell: 2.8
Uncorrected formation energy in meV/atom: 247
DFT total energy in eV/atom: -5.602



# 6
TiClF3: relaxed, GGA-PBE.

The structure in POSCAR format:
```
TiClF3
1.0
-1.786 4.478 -1.367
-3.841 0.007 5.038
4.260 2.708 3.250
F Ti Cl
6 2 2
Direct
0.944 0.592 0.976 F
0.486 0.460 0.200 F
0.444 0.761 0.476 F
0.986 0.893 0.700 F
0.443 0.762 0.926 F
0.943 0.591 0.426 F
0.714 0.676 0.202 Ti
0.214 0.676 0.702 Ti
0.292 0.333 0.701 Cl
0.792 0.020 0.200 Cl
```

Results
Size of the total moment in Bohr magnetons per cell: 0.0
Uncorrected formation energy in meV/atom: -2839
DFT total energy in eV/atom: -5.910
ΔE to the lowest computed polymorph in eV/f.u.: 0.00



# 7
ErSc5Ag6: relaxed, GGA-PBE.

The structure in POSCAR format:
```
ErSc5Ag6
1.0
4.723 0.019 -1.381
-0.943 6.034 -3.142
-0.091 0.500 8.494
Ag Er Sc
6 1 5
Direct
0.500 0.738 0.000 Ag
0.170 0.914 0.340 Ag
0.830 0.086 0.660 Ag
0.830 0.574 0.660 Ag
0.500 0.262 0.000 Ag
0.170 0.426 0.340 Ag
0.000 0.000 0.000 Er
0.334 0.834 0.668 Sc
0.333 0.332 0.665 Sc
0.666 0.166 0.332 Sc
0.667 0.668 0.335 Sc
0.000 0.500 0.000 Sc
```

Results
Size of the total moment in Bohr magnetons per cell: 0.0
Calculated formation energy in meV per atom: -277
DFT total energy in eV/atom: -4.721



# 8
HfB2H8: relaxed, GGA-PBE.

The structure in POSCAR format:
```
HfB2H8
1.0
0.469 -4.872 3.137
-1.733 -5.884 -3.491
4.694 -4.944 -2.993
H Hf B
16 2 4
Direct
0.203 0.239 0.463 H
0.573 0.255 0.386 H
0.905 0.261 0.037 H
0.660 0.448 0.777 H
0.288 0.105 0.923 H
0.427 0.745 0.614 H
0.786 0.755 0.886 H
0.315 0.395 0.577 H
0.685 0.605 0.423 H
0.797 0.761 0.537 H
0.712 0.895 0.077 H
0.214 0.245 0.114 H
0.095 0.739 0.963 H
0.884 0.052 0.723 H
0.116 0.948 0.277 H
0.340 0.552 0.223 H
0.009 0.250 0.750 Hf
0.991 0.750 0.250 Hf
0.350 0.354 0.425 B
0.871 0.854 0.925 B
0.650 0.646 0.575 B
0.129 0.146 0.075 B
```

Results
Size of the total moment in Bohr magnetons per cell: 0.0
DFT total energy in eV/atom: -4.644